{
  "formula": "K2TeW",
  "functional": "PBE",
  "state": "relaxed",
  "formation_energy_uncorrected_kcal_per_mol_atoms": 16.8,
  "space_group": "No. 44",
  "dft_energy_ev_per_atom": -3.85,
  "lattice_angstrom": [[-2.5580, 3.1226, 5.0032], [2.5580, -3.1226, 5.0032], [2.5580, 3.1226, -5.0032]],
  "species": ["K", "K", "Te", "W"],
  "fractional_positions": [[0.0000, 0.0000, 0.0000], [0.6874, 0.1874, 0.5000], [0.3084, 0.8084, 0.5000], [0.3853, 0.3853, 0.0000]]
}